(1)
Here is a geometry-optimized AcErTePb structure from Alexandria. Energies are from PBE.

a = 4.625 Å, b = 4.625 Å, c = 7.956 Å
α = 73.10°, β = 73.10°, γ = 60.00°
Fractional positions:
Pb 0.935 0.935 0.194
Ac 0.690 0.690 0.929
Er 0.198 0.198 0.406
Te 0.453 0.453 0.642

N(E_F): 1.22 states/eV per cell
ΔE_f (raw): -944 meV/atom
Spin magnetization: 0.0 μB/cell

(2)
Here is a geometry-optimized Ga2OsRh structure from Alexandria. Energies are from PBE.

a = 6.695 Å, b = 6.695 Å, c = 5.524 Å
α = 52.70°, β = 52.70°, γ = 90.00°
Fractional positions:
Os 0.750 0.250 0.500
Os 0.000 0.000 0.000
Ga 0.875 0.870 0.750
Ga 0.130 0.625 0.250
Rh 0.250 0.750 0.500
Ga 0.375 0.380 0.750
Ga 0.620 0.125 0.250
Rh 0.500 0.500 0.000

N(E_F): 9.41 states/eV per cell
Calculated total energy: -5.852 eV/atom
Spin magnetization: 0.0 μB/cell

(3)
Here is a geometry-optimized LaSc2Ru structure from Alexandria. Energies are from PBE.

a = 4.215 Å, b = 4.215 Å, c = 11.017 Å
α = 78.97°, β = 78.97°, γ = 90.00°
Fractional positions:
Sc 0.151 0.625 0.250
Sc 0.375 0.401 0.750
Sc 0.875 0.849 0.750
La 0.000 0.000 0.000
Ru 0.500 0.500 0.000
La 0.750 0.250 0.500
Ru 0.250 0.750 0.500
Sc 0.599 0.125 0.250

N(E_F): 9.74 states/eV per cell
Calculated total energy: -6.451 eV/atom
Spin magnetization: 0.0 μB/cell

(4)
Here is a geometry-optimized Ba4Cd6Cl19 structure from Alexandria. Energies are from PBE.

a = 10.147 Å, b = 10.147 Å, c = 10.147 Å
α = 109.47°, β = 109.47°, γ = 109.47°
Fractional positions:
Cl 0.407 0.634 0.654
Cl 0.754 0.346 0.980
Cl 0.000 0.666 0.666
Cd 0.500 0.834 0.334
Cl 0.346 0.980 0.754
Cl 0.666 0.000 0.666
Cd 0.334 0.500 0.834
Cl 0.593 0.246 0.227
Ba 0.000 0.000 0.674
Cl 0.980 0.754 0.346
Ba 0.326 0.326 0.326
Cd 0.834 0.334 0.500
Cl 0.246 0.227 0.593
Cl 0.000 0.334 0.334
Cd 0.666 0.500 0.166
Cl 0.227 0.593 0.246
Cl 0.334 0.000 0.334
Cd 0.500 0.166 0.666
Cl 0.020 0.366 0.773
Cl 0.000 0.000 0.000
Ba 0.674 0.000 0.000
Cl 0.634 0.654 0.407
Cl 0.334 0.334 0.000
Cl 0.654 0.407 0.634
Cl 0.666 0.666 0.000
Cd 0.166 0.666 0.500
Cl 0.773 0.020 0.366
Ba 0.000 0.674 0.000
Cl 0.366 0.773 0.020

N(E_F): 3.04 states/eV per cell
ΔE_f (raw): -1602 meV/atom
Spin magnetization: 0.0 μB/cell

What did the fourth record say?
Here is a geometry-optimized Ba4Cd6Cl19 structure from Alexandria. Energies are from PBE.

a = 10.147 Å, b = 10.147 Å, c = 10.147 Å
α = 109.47°, β = 109.47°, γ = 109.47°
Fractional positions:
Cl 0.407 0.634 0.654
Cl 0.754 0.346 0.980
Cl 0.000 0.666 0.666
Cd 0.500 0.834 0.334
Cl 0.346 0.980 0.754
Cl 0.666 0.000 0.666
Cd 0.334 0.500 0.834
Cl 0.593 0.246 0.227
Ba 0.000 0.000 0.674
Cl 0.980 0.754 0.346
Ba 0.326 0.326 0.326
Cd 0.834 0.334 0.500
Cl 0.246 0.227 0.593
Cl 0.000 0.334 0.334
Cd 0.666 0.500 0.166
Cl 0.227 0.593 0.246
Cl 0.334 0.000 0.334
Cd 0.500 0.166 0.666
Cl 0.020 0.366 0.773
Cl 0.000 0.000 0.000
Ba 0.674 0.000 0.000
Cl 0.634 0.654 0.407
Cl 0.334 0.334 0.000
Cl 0.654 0.407 0.634
Cl 0.666 0.666 0.000
Cd 0.166 0.666 0.500
Cl 0.773 0.020 0.366
Ba 0.000 0.674 0.000
Cl 0.366 0.773 0.020

N(E_F): 3.04 states/eV per cell
ΔE_f (raw): -1602 meV/atom
Spin magnetization: 0.0 μB/cell

Q: Which value of spin magnetization does entry 2 give?
A: 0.0 μB/cell

Q: Among the records above, which one has the lowest N(E_F)?
A: AcErTePb

Q: Number 4 is which compound?
A: Ba4Cd6Cl19